# 1
Below is a geometry-optimized H4IrPd structure, with properties calculated at the PBE level.

a b c (Å): 5.4611 4.7310 4.7308
angles (deg): 106.60 106.24 106.25
Positions (direct):
H 0.5293 0.8448 0.1286
H 0.1262 0.5671 0.7728
Pd 0.7500 0.4360 0.5639
Ir 0.7500 0.0355 0.9645
Pd 0.2500 0.5640 0.4361
H 0.6262 0.7728 0.5671
H 0.9706 0.8714 0.1553
H 0.4707 0.1552 0.8714
H 0.0294 0.1286 0.8447
H 0.3738 0.2272 0.4329
H 0.8738 0.4329 0.2272
Ir 0.2500 0.9645 0.0355

## Properties
VASP energy   -53.7 eV/cell
Symmetry   C2/c (15)



# 2
Below is a geometry-optimized H2IrPd2 structure, with properties calculated at the PBE level.

a b c (Å): 2.8475 2.8475 6.6608
angles (deg): 77.66 77.66 90.00
Positions (direct):
H 0.2500 0.7500 0.5000
H 0.7500 0.2500 0.5000
Pd 0.6548 0.6548 0.6904
Ir 0.0000 0.0000 0.0000
Pd 0.3452 0.3452 0.3096

## Properties
Symmetry   I4/mmm (139)
Relative energy among the computed polymorphs   0 meV per atom



# 3
Below is a geometry-optimized HIr2Pd structure, with properties calculated at the PBE level.

a b c (Å): 4.1890 4.1890 4.1890
angles (deg): 60.00 60.00 60.00
Positions (direct):
Ir 0.2500 0.2500 0.2500
H 0.0000 0.0000 0.0000
Pd 0.5000 0.5000 0.5000
Ir 0.7500 0.7500 0.7500

## Properties
Symmetry   Fm-3m (225)
Relative energy among the computed polymorphs   470 meV per atom



# 4
Below is a geometry-optimized PmH5IrPd structure, with properties calculated at the PBE level.

a b c (Å): 5.1505 5.1505 6.5159
angles (deg): 94.98 94.98 111.99
Positions (direct):
H 0.6055 0.7747 0.9152
H 0.9066 0.0934 0.2500
Pd 0.0000 0.0000 0.5000
H 0.4529 0.1358 0.4027
Pm 0.6641 0.3359 0.7500
Pm 0.3359 0.6641 0.2500
Ir 0.3059 0.6941 0.7500
H 0.5471 0.8642 0.5973
H 0.3945 0.2253 0.0848
H 0.1358 0.4529 0.9027
H 0.2253 0.3945 0.5848
H 0.0934 0.9066 0.7500
H 0.7747 0.6055 0.4152
H 0.8642 0.5471 0.0973
Ir 0.6941 0.3059 0.2500
Pd 0.0000 0.0000 0.0000

## Properties
VASP energy   -77.0 eV/cell
Symmetry   C2/c (15)



Number 1: total magnetic moment 0.00 μB per cell. Number 2: total magnetic moment 0.00 μB per cell. Number 3: total magnetic moment 0.00 μB per cell. Number 4: total magnetic moment 0.00 μB per cell.